Record 1
Entry from Alexandria: a relaxed structure of BaMg2HS (PBE).

a b c (Å): 4.464 4.464 5.940
angles (deg): 90.00 90.00 90.00
Fractional coordinates of all 5 atoms:
1 Ba 0.000 0.000 0.000
2 Mg 0.000 0.500 0.500
3 Mg 0.500 0.000 0.500
4 H 0.000 0.000 0.500
5 S 0.500 0.500 0.000

Record 2
Entry from Alexandria: a relaxed structure of CeNd3Bi4 (PBE).

Output
Formation energy from the elements, eV per atom: -0.913

a b c (Å): 6.516 6.516 6.516
angles (deg): 90.00 90.00 90.00
Fractional coordinates of all 8 atoms:
1 Ce 0.000 0.000 0.000
2 Nd 0.000 0.500 0.500
3 Nd 0.500 0.000 0.500
4 Nd 0.500 0.500 0.000
5 Bi 0.000 0.000 0.500
6 Bi 0.000 0.500 0.000
7 Bi 0.500 0.000 0.000
8 Bi 0.500 0.500 0.500

Looking at volume for the records above, in order, we have 23.7; 34.6 Å³/atom.
Looking at DFT total energy for the records above, in order, we have -2.905; -5.384 eV/atom.